A plane-wave DFT calculation with PBE-GGA was carried out for an optimized crystal structure of BaSi2H6O8.

Calculated values
* total DFT energy (no corrections): -6.197 eV per atom

CIF file:
```
data_BaSi2H6O8
_cell_length_a 7.898
_cell_length_b 10.851
_cell_length_c 8.565
_cell_angle_alpha 90.00
_cell_angle_beta 95.33
_cell_angle_gamma 90.00
_symmetry_space_group_name_H-M 'P 1 21/c 1'
_symmetry_Int_Tables_number 14
_symmetry_space_group_name_Hall '-P 2ybc'
loop_
_atom_site_label
_atom_site_fract_x
_atom_site_fract_y
_atom_site_fract_z
Ba1 0.199 0.152 0.125
Si1 0.304 0.739 0.967
Si2 0.487 0.117 0.778
H1 0.008 0.611 0.049
H2 0.071 0.635 0.723
H3 0.114 0.084 0.807
H4 0.166 0.039 0.495
H5 0.187 0.677 0.236
H6 0.414 0.567 0.168
O1 0.006 0.568 0.668
O2 0.118 0.119 0.456
O3 0.148 0.718 0.334
O4 0.238 0.627 0.071
O5 0.301 0.152 0.822
O6 0.361 0.640 0.578
O7 0.471 0.704 0.874
O8 0.485 0.029 0.268
```

***

A plane-wave DFT calculation with PBE-GGA was carried out for an optimized crystal structure of Ce2NpCu2P4.

Calculated values
* formation enthalpy at 0 K: -0.88 eV per atom
* total DFT energy (no corrections): -6.948 eV per atom

CIF file:
```
data_Ce2NpCu2P4
_cell_length_a 14.336
_cell_length_b 3.874
_cell_length_c 6.778
_cell_angle_alpha 90.00
_cell_angle_beta 111.18
_cell_angle_gamma 90.00
_symmetry_space_group_name_H-M 'C 1 2/m 1'
_symmetry_Int_Tables_number 12
_symmetry_space_group_name_Hall '-C 2y'
loop_
_atom_site_label
_atom_site_fract_x
_atom_site_fract_y
_atom_site_fract_z
Ce1 0.134 0.000 0.071
Np1 0.000 0.000 0.500
Cu1 0.183 0.500 0.493
P1 0.022 0.500 0.232
P2 0.208 0.000 0.715
```

***

A plane-wave DFT calculation with PBE-GGA was carried out for an optimized crystal structure of K2CoIr.

Calculated values
* distance to the lowest polymorph of the same formula: 600.2 meV per atom
* formation enthalpy at 0 K: 1.06 eV per atom
* total DFT energy (no corrections): -3.477 eV per atom

CIF file:
```
data_K2CoIr
_cell_length_a 2.8674
_cell_length_b 2.8674
_cell_length_c 33.2345
_cell_angle_alpha 90.00
_cell_angle_beta 90.00
_cell_angle_gamma 120.00
_symmetry_space_group_name_H-M 'R -3 m'
_symmetry_Int_Tables_number 166
_symmetry_space_group_name_Hall '-R 3 2"'
loop_
_atom_site_label
_atom_site_fract_x
_atom_site_fract_y
_atom_site_fract_z
K1 0.0000 0.0000 0.2488
Co1 0.0000 0.0000 0.0000
Ir1 0.0000 0.0000 0.5000
```

***

A plane-wave DFT calculation with PBE-GGA was carried out for an optimized crystal structure of TaCd2IBr.

Calculated values
* total DFT energy (no corrections): -1.922 eV per atom
* formation energy from raw total energies: 1.46 eV per atom

CIF file:
```
data_TaCd2IBr
_cell_length_a 5.484
_cell_length_b 5.484
_cell_length_c 5.852
_cell_angle_alpha 90.00
_cell_angle_beta 90.00
_cell_angle_gamma 90.00
_symmetry_space_group_name_H-M 'P 4/m m m'
_symmetry_Int_Tables_number 123
_symmetry_space_group_name_Hall '-P 4 2'
loop_
_atom_site_label
_atom_site_fract_x
_atom_site_fract_y
_atom_site_fract_z
Ta1 0.000 0.000 0.000
Cd1 0.000 0.500 0.500
I1 0.500 0.500 0.000
Br1 0.500 0.500 0.500
```

***

A plane-wave DFT calculation with PBE-GGA was carried out for an optimized crystal structure of CuPb2W2.

Calculated values
* distance to the lowest polymorph of the same formula: 329.6 meV per atom
* formation enthalpy at 0 K: 1.25 eV per atom
* total DFT energy (no corrections): -6.234 eV per atom

CIF file:
```
data_CuPb2W2
_cell_length_a 5.489
_cell_length_b 5.489
_cell_length_c 7.618
_cell_angle_alpha 90.00
_cell_angle_beta 90.00
_cell_angle_gamma 90.00
_symmetry_space_group_name_H-M 'I 4/m m m'
_symmetry_Int_Tables_number 139
_symmetry_space_group_name_Hall '-I 4 2'
loop_
_atom_site_label
_atom_site_fract_x
_atom_site_fract_y
_atom_site_fract_z
Cu1 0.000 0.000 0.000
Pb1 0.000 0.500 0.250
W1 0.000 0.000 0.346
```

***

A plane-wave DFT calculation with PBE-GGA was carried out for an optimized crystal structure of Ac2AgN.

Calculated values
* distance to the lowest polymorph of the same formula: 0.0 meV per atom
* total DFT energy (no corrections): -5.512 eV per atom
* formation energy from raw total energies: -0.66 eV per atom

CIF file:
```
data_Ac2AgN
_cell_length_a 5.845
_cell_length_b 6.163
_cell_length_c 7.478
_cell_angle_alpha 90.00
_cell_angle_beta 112.93
_cell_angle_gamma 90.00
_symmetry_space_group_name_H-M 'P 1 2/m 1'
_symmetry_Int_Tables_number 10
_symmetry_space_group_name_Hall '-P 2y'
loop_
_atom_site_label
_atom_site_fract_x
_atom_site_fract_y
_atom_site_fract_z
Ac1 0.115 0.000 0.299
Ac2 0.316 0.500 0.701
Ag1 0.000 0.500 0.000
Ag2 0.500 0.000 0.000
N1 0.000 0.250 0.500
```

***

A plane-wave DFT calculation with PBE-GGA was carried out for an optimized crystal structure of Tl2InIr.

Calculated values
* distance to the lowest polymorph of the same formula: 110.2 meV per atom
* formation enthalpy at 0 K: 0.20 eV per atom
* total DFT energy (no corrections): -3.883 eV per atom

CIF file:
```
data_Tl2InIr
_cell_length_a 3.093
_cell_length_b 4.707
_cell_length_c 13.735
_cell_angle_alpha 90.00
_cell_angle_beta 90.00
_cell_angle_gamma 90.00
_symmetry_space_group_name_H-M 'I m m 2'
_symmetry_Int_Tables_number 44
_symmetry_space_group_name_Hall 'I 2 -2'
loop_
_atom_site_label
_atom_site_fract_x
_atom_site_fract_y
_atom_site_fract_z
Tl1 0.000 0.000 0.000
Tl2 0.000 0.500 0.185
In1 0.000 0.500 0.819
Ir1 0.000 0.000 0.491
```

***

A plane-wave DFT calculation with PBE-GGA was carried out for an optimized crystal structure of CsCaNb.

Calculated values
* distance to the lowest polymorph of the same formula: 308.6 meV per atom
* formation enthalpy at 0 K: 0.71 eV per atom
* total DFT energy (no corrections): -3.600 eV per atom

CIF file:
```
data_CsCaNb
_cell_length_a 3.581
_cell_length_b 6.996
_cell_length_c 10.604
_cell_angle_alpha 71.22
_cell_angle_beta 88.53
_cell_angle_gamma 75.26
_symmetry_space_group_name_H-M 'P 1'
_symmetry_Int_Tables_number 1
_symmetry_space_group_name_Hall 'P 1'
loop_
_atom_site_label
_atom_site_fract_x
_atom_site_fract_y
_atom_site_fract_z
Cs1 0.000 0.000 0.000
Cs2 0.298 0.388 0.194
Ca1 0.670 0.730 0.471
Ca2 0.970 0.119 0.617
Nb1 0.290 0.458 0.735
Nb2 0.673 0.688 0.785
```

***

A plane-wave DFT calculation with PBE-GGA was carried out for an optimized crystal structure of Sr2MgTa.

Calculated values
* formation enthalpy at 0 K: 0.78 eV per atom
* total DFT energy (no corrections): -3.418 eV per atom

CIF file:
```
data_Sr2MgTa
_cell_length_a 3.350
_cell_length_b 5.217
_cell_length_c 7.010
_cell_angle_alpha 90.00
_cell_angle_beta 90.12
_cell_angle_gamma 90.00
_symmetry_space_group_name_H-M 'P 1 2/m 1'
_symmetry_Int_Tables_number 10
_symmetry_space_group_name_Hall '-P 2y'
loop_
_atom_site_label
_atom_site_fract_x
_atom_site_fract_y
_atom_site_fract_z
Sr1 0.001 0.000 0.240
Mg1 0.500 0.500 0.500
Ta1 0.500 0.500 0.000
```